Density functional theory data (PBE) for crystalline SmY10Th4 at its relaxed geometry.

Structure (POSCAR):
```
SmY10Th4
1.0
1.856 -9.216 -5.312
6.184 -1.645 -5.960
5.206 -6.626 2.339
Th Y Sm
4 10 1
Direct
0.339 0.726 0.597 Th
0.661 0.274 0.403 Th
0.064 0.597 0.274 Th
0.936 0.403 0.726 Th
0.226 0.328 0.905 Y
0.774 0.672 0.095 Y
0.446 0.095 0.328 Y
0.869 0.905 0.672 Y
0.750 0.500 0.500 Y
0.554 0.905 0.672 Y
0.131 0.095 0.328 Y
0.541 0.328 0.905 Y
0.459 0.672 0.095 Y
0.250 0.500 0.500 Y
0.000 0.000 0.000 Sm
```

Density of states at the Fermi level, states/eV/atom: 1.67
DFT formation energy, eV/atom: 0.390

---

Density functional theory data (PBE) for crystalline Sm3Y6Th at its relaxed geometry.

Structure (POSCAR):
```
Sm3Y6Th
1.0
6.318 0.000 0.000
0.000 10.929 -1.552
0.000 -3.952 10.307
Y Sm Th
12 6 2
Direct
0.147 0.726 0.274 Y
0.372 0.045 0.463 Y
0.895 0.046 0.954 Y
0.040 0.381 0.291 Y
0.395 0.954 0.046 Y
0.872 0.463 0.045 Y
0.540 0.291 0.381 Y
0.872 0.955 0.537 Y
0.647 0.274 0.726 Y
0.540 0.619 0.709 Y
0.040 0.709 0.619 Y
0.372 0.537 0.955 Y
0.568 0.612 0.388 Sm
0.068 0.388 0.612 Sm
0.454 0.938 0.715 Sm
0.954 0.715 0.938 Sm
0.954 0.062 0.285 Sm
0.454 0.285 0.062 Sm
0.144 0.205 0.795 Th
0.644 0.795 0.205 Th
```

Density of states at the Fermi level, states/eV/atom: 1.58
E above lowest polymorph, meV per atom: 0
DFT formation energy, eV/atom: 0.159

---

Density functional theory data (PBE) for crystalline SmY3Th at its relaxed geometry.

Structure (POSCAR):
```
SmY3Th
1.0
3.627 -0.001 0.000
-1.815 8.448 0.000
0.000 0.000 11.712
Y Th Sm
6 2 2
Direct
0.641 0.783 0.250 Y
0.359 0.217 0.750 Y
0.156 0.813 0.000 Y
0.844 0.187 0.000 Y
0.156 0.813 0.500 Y
0.844 0.187 0.500 Y
0.304 0.109 0.250 Th
0.696 0.891 0.750 Th
0.028 0.554 0.750 Sm
0.972 0.446 0.250 Sm
```

Density of states at the Fermi level, states/eV/atom: 1.50
E above lowest polymorph, meV per atom: 270
DFT formation energy, eV/atom: 0.312